A relaxed CePmPaSi crystal. Source: the Alexandria database, functional PBE-GGA.

```
CePmPaSi
1.0
0.000 3.672 3.672
3.672 0.000 3.672
3.672 3.672 0.000
Ce Pm Pa Si
1 1 1 1
Cartesian
0.000 0.000 0.000
3.672 3.672 3.672
5.508 5.508 5.508
1.836 1.836 1.836
```

Total DFT energy (no corrections) in eV for the cell shown: -25.1
Raw formation energy in kJ/mol of formula units: 52
D(E_F) in states/eV/f.u.: 8.41